10
Lattice="2.1039 -8.6944 0.0000 2.1039 8.6944 0.0000 0.0000 0.0000 8.1904" Properties=species:S:1:pos:R:3 comment="La2SBr2 (PBE, relaxed)" sg="Cmc2_1, No. 36" energy_ev_per_atom=-5.14 pbc="T T T"
La 2.1039 7.7265 4.0952
La 2.1039 3.2964 3.3628
La 2.1039 -3.2964 7.4580
La 2.1039 -7.7265 0.0000
S 2.1039 7.1554 6.8485
S 2.1039 -7.1554 2.7533
Br 2.1039 3.3288 0.2592
Br 2.1039 1.1517 5.6535
Br 2.1039 -1.1517 1.5583
Br 2.1039 -3.3288 4.3544

4
Lattice="3.8144 0.0000 0.0000 0.0000 3.8144 0.0000 0.0000 0.0000 7.0637" Properties=species:S:1:pos:R:3 comment="YHf2Pa (PBE, relaxed)" ef_mev_per_atom=162 sg="P4/mmm, No. 123" pbc="T T T"
Y 0.0000 0.0000 0.0000
Hf 1.9072 1.9072 2.0549
Hf 1.9072 1.9072 5.0088
Pa 0.0000 0.0000 3.5319

7
Lattice="2.0337 1.1742 7.6133 -2.0337 1.1742 7.6133 0.0000 -2.3483 7.6133" Properties=species:S:1:pos:R:3 comment="PmCu4Si2 (PBE, relaxed)" sg="R-3m, No. 166" relative_energy_ev_per_atom=0.0408 pbc="T T T"
Pm 0.0000 0.0000 0.0000
Cu 0.0000 0.0000 3.2046
Cu 0.0000 0.0000 9.8983
Cu 0.0000 0.0000 12.9418
Cu 0.0000 0.0000 19.6354
Si 0.0000 0.0000 5.6340
Si 0.0000 0.0000 17.2061

6
Lattice="5.0524 -1.3519 0.0000 5.0524 1.3519 0.0000 -1.9418 0.0000 6.4621" Properties=species:S:1:pos:R:3 comment="LiSi2 (PBE, relaxed)" sg="Cm, No. 8" relative_energy_ev_per_atom=0.1670 pbc="T T T"
Li 0.0000 0.0000 0.0000
Li 6.3538 0.0000 2.2466
Si 2.6886 0.0000 0.3548
Si 2.6525 0.0000 4.2015
Si 5.2031 0.0000 4.7371
Si 9.0794 0.0000 2.4912

10
Lattice="7.2027 0.0000 0.0000 0.0000 7.2027 0.0000 0.0000 0.0000 5.1077" Properties=species:S:1:pos:R:3 comment="Ca2Ta2Te (PBE, relaxed)" sg="P4/mbm, No. 127" relative_energy_ev_per_atom=0.0000 pbc="T T T"
Ca 1.1750 2.4263 0.0000
Ca 2.4263 6.0277 0.0000
Ca 4.7763 1.1750 0.0000
Ca 6.0277 4.7763 0.0000
Ta 0.9223 4.5236 2.5538
Ta 2.6791 0.9223 2.5538
Ta 4.5236 6.2804 2.5538
Ta 6.2804 2.6791 2.5538
Te 0.0000 0.0000 2.5538
Te 3.6013 3.6013 2.5538

15
Lattice="0.0000 5.8488 5.8488 5.8488 0.0000 5.8488 5.8488 5.8488 0.0000" Properties=species:S:1:pos:R:3 comment="La6YS8 (PBE, relaxed)" sg="Fm-3m, No. 225" energy_ev_per_atom=-6.76 pbc="T T T"
La 2.9244 2.9244 0.0000
La 2.9244 0.0000 2.9244
La 5.8488 2.9244 2.9244
La 0.0000 2.9244 2.9244
La 2.9244 5.8488 2.9244
La 2.9244 2.9244 5.8488
Y 0.0000 0.0000 0.0000
S 5.8488 5.8488 2.7898
S 5.8488 2.7898 5.8488
S 8.9078 5.8488 5.8488
S 2.9244 2.9244 2.9244
S 8.7732 8.7732 8.7732
S 2.7898 5.8488 5.8488
S 5.8488 8.9078 5.8488
S 5.8488 5.8488 8.9078

5
Lattice="4.6039 0.0000 0.0000 0.0000 4.6039 0.0000 0.0000 0.0000 4.6414" Properties=species:S:1:pos:R:3 comment="AsIrPt2S (PBE, relaxed)" sg="P4/mmm, No. 123" energy_ev_per_atom=-4.72 pbc="T T T"
As 0.0000 0.0000 0.0000
Ir 2.3019 2.3019 2.3207
Pt 0.0000 2.3019 0.0000
Pt 2.3019 0.0000 0.0000
S 0.0000 0.0000 2.3207

14
Lattice="6.2894 0.0000 0.0000 -3.1447 5.4468 0.0000 0.0000 0.0000 7.8194" Properties=species:S:1:pos:R:3 comment="K3PmNb2O8 (PBE, relaxed)" sg="P-3m1, No. 164" energy_ev_per_atom=-7.39 pbc="T T T"
K 0.0000 0.0000 0.0000
K 0.0000 3.6312 5.2767
K 3.1447 1.8156 2.5426
Pm 0.0000 0.0000 3.9097
Nb 0.0000 3.6312 1.7878
Nb 3.1447 1.8156 6.0315
O 0.0000 1.8656 2.4863
O -1.5291 4.5140 2.4863
O 0.0000 3.6312 7.7854
O 1.6156 0.9328 5.3330
O 1.5291 4.5140 2.4863
O 3.1447 1.8156 0.0340
O 4.6738 0.9328 5.3330
O 3.1447 3.5812 5.3330

6
Lattice="5.7839 0.0000 0.0000 -2.8919 5.0090 0.0000 0.0000 0.0000 5.2480" Properties=species:S:1:pos:R:3 comment="Sc5Al (PBE, relaxed)" ef_mev_per_atom=447 sg="P6/mmm, No. 191" relative_energy_ev_per_atom=0.5899 pbc="T T T"
Sc -1.4460 2.5045 0.0000
Sc 0.0000 3.3393 2.6240
Sc 2.8919 0.0000 0.0000
Sc 1.4460 2.5045 0.0000
Sc 2.8920 1.6697 2.6240
Al 0.0000 0.0000 2.6240

4
Lattice="2.9768 0.0000 0.0000 0.0000 4.3693 0.0000 0.0000 0.0000 5.7730" Properties=species:S:1:pos:R:3 comment="CdOsCl2 (PBE, relaxed)" sg="Pmmm, No. 47" relative_energy_ev_per_atom=0.6371 pbc="T T T"
Cd 0.0000 0.0000 0.0000
Os 1.4884 0.0000 2.8865
Cl 0.0000 2.1847 2.8865
Cl 1.4884 2.1847 0.0000

12
Lattice="2.9990 -5.1890 0.0000 2.9990 5.1890 0.0000 -1.9936 0.0000 11.2173" Properties=species:S:1:pos:R:3 comment="DyHo2Er6Sc3 (PBE, relaxed)" ef_mev_per_atom=43 sg="C2/m, No. 12" pbc="T T T"
Dy 0.0000 0.0000 0.0000
Ho 2.9990 1.7294 0.0000
Ho 2.9990 -1.7294 0.0000
Er 1.0026 1.7300 2.8994
Er 0.0034 0.0000 8.3171
Er 1.0026 -1.7300 2.8994
Er 3.0017 1.7300 8.3178
Er 4.0010 0.0000 2.9002
Er 3.0017 -1.7300 8.3178
Sc 2.0022 3.4586 5.6086
Sc 2.0022 0.0000 5.6086
Sc 2.0022 -3.4586 5.6086

6
Lattice="0.0000 3.6727 3.6727 3.6727 0.0000 3.6727 3.6727 3.6727 0.0000" Properties=species:S:1:pos:R:3 comment="PaZnSi4 (PBE, relaxed)" sg="F-43m, No. 216" energy_ev_per_atom=-5.50 pbc="T T T"
Pa 0.0000 0.0000 0.0000
Zn 1.8364 1.8364 1.8364
Si 4.5779 2.7675 2.7675
Si 2.7675 4.5779 2.7675
Si 2.7675 2.7675 4.5779
Si 4.5779 4.5779 4.5779

3
Lattice="0.0000 3.7519 3.7519 3.7519 0.0000 3.7519 3.7519 3.7519 0.0000" Properties=species:S:1:pos:R:3 comment="SrFeBr (PBE, relaxed)" sg="F-43m, No. 216" energy_ev_per_atom=-3.74 pbc="T T T"
Sr 0.0000 0.0000 0.0000
Fe 1.8759 1.8759 1.8759
Br 5.6278 5.6278 5.6278

| no. | spin magnetization (μB per formula unit) |
| --- | --- |
| 1 | 0.0 |
| 2 | 0.0 |
| 3 | 0.0 |
| 4 | 0.0 |
| 5 | 0.0 |
| 6 | 0.0 |
| 7 | 0.6 |
| 8 | 0.0 |
| 9 | 1.0 |
| 10 | 0.5 |
| 11 | 0.0 |
| 12 | 0.0 |
| 13 | 3.0 |